[1]
Entry from Alexandria via LeMat-Bulk: a relaxed CrIn2W crystal (PBE-GGA).

Cell lengths 4.193, 2.946, 6.668 Å; angles 63.87, 90.00, 90.00 degrees
Site moments in Bohr magnetons follow the coordinates.
Sites, in units of the cell vectors:
Cr 0.500 0.750 0.750  3.41
In 0.000 0.000 0.000  -0.04
In 0.000 0.500 0.500  -0.04
W 0.500 0.250 0.250  -0.03

Properties
The value obtained for the total magnetization is 3.7 μB/f.u. Its crystal system is monoclinic. The density of states at the Fermi level is 2.4 states/eV/cell. For the energy above the most stable polymorph in this dataset, the calculation gives 264.0 meV/atom. The final energy is -6.42 eV per atom. The energy relative to the elements comes out at 0.596 eV/atom.

---

[2]
Entry from Alexandria via LeMat-Bulk: a relaxed Cr2InW crystal (PBE-GGA).

Cell lengths 4.368, 4.368, 3.199 Å; angles 90.00, 90.00, 89.98 degrees
Site moments in Bohr magnetons follow the coordinates.
Sites, in units of the cell vectors:
Cr 0.000 0.000 0.000  1.79
Cr 0.500 0.500 0.000  1.79
In 0.500 0.000 0.500  -0.04
W 0.000 0.500 0.500  -0.69

Properties
The value obtained for the total magnetization is 2.9 μB/f.u. Its crystal system is tetragonal. The density of states at the Fermi level is 0.9 states/eV/cell. The final energy is -8.38 eV per atom. The energy relative to the elements comes out at 0.353 eV/atom.